# TaH2Os

An optimized crystal structure of TaH2Os (GGA-PBE, the Alexandria database).

Summary:
Total energy: -0.500 Ry/atom
ΔE to the lowest computed polymorph: 686 meV per atom
DOS(E_F): 0.371 states/eV per atom

Unit cell a=5.4011 b=5.4011 c=5.4011 alpha=90.00 beta=90.00 gamma=90.00
Closest atoms and distances in Å follow each position.
Space group Fm-3m (No. 225)
Unique sites:
Ta: 0.0000 0.0000 0.0000 [4 per cell]  8 H 2.34
H: 0.2500 0.2500 0.2500 [8 per cell]  4 Ta 2.34, 4 Os 2.34
Os: 0.0000 0.0000 0.5000 [4 per cell]  8 H 2.34